Entry from Alexandria via LeMat-Bulk: crystalline TbCePmS3 at its relaxed geometry (PBE).

Properties
- M_tot: 2.5 μB per cell
- E_form (uncorrected): -1.867 eV per atom

The structure in CIF format:
```
data_TbCePmS3
_chemical_formula_sum 'Tb2 Ce2 Pm2 S6'
_symmetry_space_group_name_H-M 'P 1 21/m 1'
_symmetry_Int_Tables_number 11
_symmetry_space_group_name_Hall '-P 2yb'
_cell_length_a 6.697
_cell_length_b 3.941
_cell_length_c 10.801
_cell_angle_alpha 90.00
_cell_angle_beta 94.48
_cell_angle_gamma 90.00
loop_
_atom_site_label
_atom_site_type_symbol
_atom_site_fract_x
_atom_site_fract_y
_atom_site_fract_z
Tb1 Tb 0.250 0.250 0.055
Ce1 Ce 0.311 0.750 0.374
Pm1 Pm 0.228 0.750 0.738
S1 S 0.020 0.750 0.157
S2 S 0.252 0.250 0.551
S3 S 0.486 0.250 0.854
```

Entry from Alexandria via LeMat-Bulk: crystalline La6IrSe3S2 at its relaxed geometry (PBE).

Properties
- M_tot: 0.0 μB per cell
- E_form (uncorrected): -1.845 eV per atom

The structure in CIF format:
```
data_La6IrSe3S2
_chemical_formula_sum 'La12 Ir2 Se6 S4'
_symmetry_space_group_name_H-M 'C 1 2/m 1'
_symmetry_Int_Tables_number 12
_symmetry_space_group_name_Hall '-C 2y'
_cell_length_a 18.701
_cell_length_b 4.203
_cell_length_c 8.618
_cell_angle_alpha 90.00
_cell_angle_beta 103.87
_cell_angle_gamma 90.00
loop_
_atom_site_label
_atom_site_type_symbol
_atom_site_fract_x
_atom_site_fract_y
_atom_site_fract_z
La1 La 0.002 0.000 0.233
La2 La 0.163 0.500 0.090
La3 La 0.170 0.500 0.574
Ir1 Ir 0.000 0.500 0.000
Se1 Se 0.000 0.500 0.500
Se2 Se 0.168 0.000 0.831
S1 S 0.167 0.000 0.334
```

Entry from Alexandria via LeMat-Bulk: crystalline CuPCl2 at its relaxed geometry (PBE).

Properties
- M_tot: 0.0 μB per cell
- ΔE to the lowest computed polymorph: 0.727 eV per atom
- E_form (uncorrected): 0.381 eV per atom

The structure in CIF format:
```
data_CuPCl2
_chemical_formula_sum 'Cu4 P4 Cl8'
_symmetry_space_group_name_H-M 'I -4 2 d'
_symmetry_Int_Tables_number 122
_symmetry_space_group_name_Hall 'I -4 2bw'
_cell_length_a 6.766
_cell_length_b 6.766
_cell_length_c 6.551
_cell_angle_alpha 90.00
_cell_angle_beta 90.00
_cell_angle_gamma 90.00
loop_
_atom_site_label
_atom_site_type_symbol
_atom_site_fract_x
_atom_site_fract_y
_atom_site_fract_z
Cu1 Cu 0.000 0.000 0.000
P1 P 0.000 0.000 0.500
Cl1 Cl 0.222 0.250 0.125
```

Entry from Alexandria via LeMat-Bulk: crystalline Li2Ag3OsO6 at its relaxed geometry (PBE).

Properties
- M_tot: 0.0 μB per cell
- E_form (uncorrected): -0.934 eV per atom

The structure in CIF format:
```
data_Li2Ag3OsO6
_chemical_formula_sum 'Li4 Ag6 Os2 O12'
_symmetry_space_group_name_H-M 'C 1 2/m 1'
_symmetry_Int_Tables_number 12
_symmetry_space_group_name_Hall '-C 2y'
_cell_length_a 5.279
_cell_length_b 9.083
_cell_length_c 6.564
_cell_angle_alpha 90.00
_cell_angle_beta 105.61
_cell_angle_gamma 90.00
loop_
_atom_site_label
_atom_site_type_symbol
_atom_site_fract_x
_atom_site_fract_y
_atom_site_fract_z
Li1 Li 0.000 0.167 0.000
Ag1 Ag 0.000 0.000 0.500
Ag2 Ag 0.000 0.335 0.500
Os1 Os 0.000 0.500 0.000
O1 O 0.093 0.349 0.832
O2 O 0.145 0.000 0.833
```

Entry from Alexandria via LeMat-Bulk: crystalline K2BaMgAl at its relaxed geometry (PBE).

Properties
- M_tot: 0.0 μB per cell
- ΔH_f (0 K): 0.35 eV/atom

The structure in CIF format:
```
data_K2BaMgAl
_chemical_formula_sum 'K2 Ba1 Mg1 Al1'
_symmetry_space_group_name_H-M 'P 4/m m m'
_symmetry_Int_Tables_number 123
_symmetry_space_group_name_Hall '-P 4 2'
_cell_length_a 6.627
_cell_length_b 6.627
_cell_length_c 5.316
_cell_angle_alpha 90.00
_cell_angle_beta 90.00
_cell_angle_gamma 90.00
loop_
_atom_site_label
_atom_site_type_symbol
_atom_site_fract_x
_atom_site_fract_y
_atom_site_fract_z
K1 K 0.000 0.500 0.000
Ba1 Ba 0.000 0.000 0.500
Mg1 Mg 0.500 0.500 0.000
Al1 Al 0.500 0.500 0.500
```

Entry from Alexandria via LeMat-Bulk: crystalline Os2Ru at its relaxed geometry (PBE).

Properties
- M_tot: 0.0 μB per cell
- ΔE to the lowest computed polymorph: 0.000 eV per atom
- ΔH_f (0 K): -0.02 eV/atom

The structure in CIF format:
```
data_Os2Ru
_chemical_formula_sum 'Os8 Ru4'
_symmetry_space_group_name_H-M 'C m c m'
_symmetry_Int_Tables_number 63
_symmetry_space_group_name_Hall '-C 2c 2'
_cell_length_a 8.221
_cell_length_b 4.750
_cell_length_c 4.343
_cell_angle_alpha 90.00
_cell_angle_beta 90.00
_cell_angle_gamma 90.00
loop_
_atom_site_label
_atom_site_type_symbol
_atom_site_fract_x
_atom_site_fract_y
_atom_site_fract_z
Os1 Os 0.167 0.166 0.250
Ru1 Ru 0.000 0.333 0.750
```

Entry from Alexandria via LeMat-Bulk: crystalline Dy3Al3Zn8 at its relaxed geometry (PBE).

Properties
- M_tot: 0.0 μB per cell
- ΔH_f (0 K): -0.37 eV/atom

The structure in CIF format:
```
data_Dy3Al3Zn8
_chemical_formula_sum 'Dy6 Al6 Zn16'
_symmetry_space_group_name_H-M 'I m m m'
_symmetry_Int_Tables_number 71
_symmetry_space_group_name_Hall '-I 2 2'
_cell_length_a 4.265
_cell_length_b 9.527
_cell_length_c 12.569
_cell_angle_alpha 90.00
_cell_angle_beta 90.00
_cell_angle_gamma 90.00
loop_
_atom_site_label
_atom_site_type_symbol
_atom_site_fract_x
_atom_site_fract_y
_atom_site_fract_z
Dy1 Dy 0.000 0.000 0.000
Dy2 Dy 0.000 0.000 0.304
Al1 Al 0.000 0.206 0.500
Al2 Al 0.000 0.500 0.000
Zn1 Zn 0.000 0.275 0.140
Zn2 Zn 0.000 0.369 0.338
```

Entry from Alexandria via LeMat-Bulk: crystalline ZrNiBr2 at its relaxed geometry (PBE).

Properties
- M_tot: 0.0 μB per cell
- ΔE to the lowest computed polymorph: 0.035 eV per atom
- E_form (uncorrected): -0.668 eV per atom

The structure in CIF format:
```
data_ZrNiBr2
_chemical_formula_sum 'Zr1 Ni1 Br2'
_symmetry_space_group_name_H-M 'P 1 m 1'
_symmetry_Int_Tables_number 6
_symmetry_space_group_name_Hall 'P -2y'
_cell_length_a 3.524
_cell_length_b 3.408
_cell_length_c 8.705
_cell_angle_alpha 90.00
_cell_angle_beta 99.52
_cell_angle_gamma 90.00
loop_
_atom_site_label
_atom_site_type_symbol
_atom_site_fract_x
_atom_site_fract_y
_atom_site_fract_z
Zr1 Zr 0.000 0.000 0.000
Ni1 Ni 0.449 0.500 0.859
Br1 Br 0.101 0.500 0.246
Br2 Br 0.821 0.000 0.689
```

Entry from Alexandria via LeMat-Bulk: crystalline FeRuSe2 at its relaxed geometry (PBE).

Properties
- M_tot: 2.2 μB per cell
- ΔE to the lowest computed polymorph: 0.202 eV per atom
- E_form (uncorrected): -0.023 eV per atom

The structure in CIF format:
```
data_FeRuSe2
_chemical_formula_sum 'Fe1 Ru1 Se2'
_symmetry_space_group_name_H-M 'P m m 2'
_symmetry_Int_Tables_number 25
_symmetry_space_group_name_Hall 'P 2 -2'
_cell_length_a 3.174
_cell_length_b 3.552
_cell_length_c 6.568
_cell_angle_alpha 90.00
_cell_angle_beta 90.00
_cell_angle_gamma 90.00
loop_
_atom_site_label
_atom_site_type_symbol
_atom_site_fract_x
_atom_site_fract_y
_atom_site_fract_z
Fe1 Fe 0.000 0.000 0.000
Ru1 Ru 0.500 0.500 0.217
Se1 Se 0.000 0.000 0.363
Se2 Se 0.500 0.500 0.851
```

Entry from Alexandria via LeMat-Bulk: crystalline Tb6Y2Pu at its relaxed geometry (PBE).

Properties
- M_tot: 13.2 μB per cell
- ΔH_f (0 K): 0.16 eV/atom

The structure in CIF format:
```
data_Tb6Y2Pu
_chemical_formula_sum 'Tb12 Y4 Pu2'
_symmetry_space_group_name_H-M 'P 1 21/c 1'
_symmetry_Int_Tables_number 14
_symmetry_space_group_name_Hall '-P 2ybc'
_cell_length_a 5.828
_cell_length_b 10.126
_cell_length_c 11.190
_cell_angle_alpha 90.00
_cell_angle_beta 119.89
_cell_angle_gamma 90.00
loop_
_atom_site_label
_atom_site_type_symbol
_atom_site_fract_x
_atom_site_fract_y
_atom_site_fract_z
Tb1 Tb 0.087 0.168 0.009
Tb2 Tb 0.264 0.743 0.829
Tb3 Tb 0.387 0.076 0.827
Y1 Y 0.340 0.093 0.349
Pu1 Pu 0.000 0.000 0.500
```

Entry from Alexandria via LeMat-Bulk: crystalline LaFe2Si2B at its relaxed geometry (PBE).

Properties
- M_tot: 0.2 μB per cell
- E_form (uncorrected): -0.511 eV per atom

The structure in CIF format:
```
data_LaFe2Si2B
_chemical_formula_sum 'La1 Fe2 Si2 B1'
_symmetry_space_group_name_H-M 'P 4/m m m'
_symmetry_Int_Tables_number 123
_symmetry_space_group_name_Hall '-P 4 2'
_cell_length_a 3.949
_cell_length_b 3.949
_cell_length_c 5.439
_cell_angle_alpha 90.00
_cell_angle_beta 90.00
_cell_angle_gamma 90.00
loop_
_atom_site_label
_atom_site_type_symbol
_atom_site_fract_x
_atom_site_fract_y
_atom_site_fract_z
La1 La 0.000 0.000 0.000
Fe1 Fe 0.000 0.500 0.500
Si1 Si 0.500 0.500 0.244
B1 B 0.000 0.000 0.500
```

Entry from Alexandria via LeMat-Bulk: crystalline Pu2Fe3Ru at its relaxed geometry (PBE).

Properties
- M_tot: 7.2 μB per cell
- ΔH_f (0 K): -0.12 eV/atom

The structure in CIF format:
```
data_Pu2Fe3Ru
_chemical_formula_sum 'Pu4 Fe6 Ru2'
_symmetry_space_group_name_H-M 'C 1 2/m 1'
_symmetry_Int_Tables_number 12
_symmetry_space_group_name_Hall '-C 2y'
_cell_length_a 8.252
_cell_length_b 5.425
_cell_length_c 5.460
_cell_angle_alpha 90.00
_cell_angle_beta 128.04
_cell_angle_gamma 90.00
loop_
_atom_site_label
_atom_site_type_symbol
_atom_site_fract_x
_atom_site_fract_y
_atom_site_fract_z
Pu1 Pu 0.122 0.000 0.373
Fe1 Fe 0.000 0.500 0.000
Fe2 Fe 0.250 0.250 0.000
Ru1 Ru 0.000 0.500 0.500
```

Entry from Alexandria via LeMat-Bulk: crystalline LiLaCl2 at its relaxed geometry (PBE).

Properties
- M_tot: 7.9 μB per cell
- ΔE to the lowest computed polymorph: 0.289 eV per atom
- E_form (uncorrected): -1.381 eV per atom

The structure in CIF format:
```
data_LiLaCl2
_chemical_formula_sum 'Li4 La4 Cl8'
_symmetry_space_group_name_H-M 'I -4 2 d'
_symmetry_Int_Tables_number 122
_symmetry_space_group_name_Hall 'I -4 2bw'
_cell_length_a 6.268
_cell_length_b 6.268
_cell_length_c 11.485
_cell_angle_alpha 90.00
_cell_angle_beta 90.00
_cell_angle_gamma 90.00
loop_
_atom_site_label
_atom_site_type_symbol
_atom_site_fract_x
_atom_site_fract_y
_atom_site_fract_z
Li1 Li 0.000 0.000 0.000
La1 La 0.000 0.000 0.500
Cl1 Cl 0.170 0.250 0.125
```